Entry 1:
The following is a PBE calculation of a relaxed structure of Lu2HfCu, from Alexandria via LeMat-Bulk.

POSCAR file:
```
Lu2HfCu
1.0
-1.4257 -0.5040 -2.9344
2.9652 -0.5341 -1.3489
-0.6674 -7.9902 1.6968
Lu Hf Cu
2 1 1
Direct
0.0000 0.0000 0.7808
0.0000 0.0000 0.2192
0.5000 0.5000 0.5000
0.5000 0.5000 0.0000
```

Calculated values
For the total energy, the calculation gives -5.865 eV/atom. Its energy of formation from the pure elements is -0.37 eV/f.u. The calculation puts the energy above the lowest structure with this stoichiometry at 0 meV/atom. Its crystal system is tetragonal.

---

Entry 2:
The following is a PBE calculation of a relaxed structure of LuHfCu4, from Alexandria via LeMat-Bulk.

POSCAR file:
```
LuHfCu4
1.0
5.0999 0.0000 0.0000
2.5499 4.4166 0.0000
2.5499 1.4722 4.1640
Lu Hf Cu
1 1 4
Direct
0.0000 0.0000 0.0000
0.2500 0.2500 0.2500
0.6245 0.6245 0.1266
0.6245 0.1266 0.6245
0.6245 0.6245 0.6245
0.1266 0.6245 0.6245
```

Calculated values
For the total energy, the calculation gives -5.260 eV/atom. Its energy of formation from the pure elements is -0.70 eV/f.u. Its crystal system is cubic.

---

Entry 3:
The following is a PBE calculation of a relaxed structure of Lu2HfCu, from Alexandria via LeMat-Bulk.

POSCAR file:
```
Lu2HfCu
1.0
-1.2803 -0.2811 -2.8987
0.1242 -2.7862 -1.5304
-9.7408 -3.8605 2.9311
Lu Hf Cu
2 1 1
Direct
0.0980 0.0980 0.7061
0.9020 0.9020 0.2939
0.0000 0.0000 0.0000
0.5000 0.5000 0.5000
```

Calculated values
For the total energy, the calculation gives -5.406 eV/atom. Its energy of formation from the pure elements is 1.47 eV/f.u. The calculation puts the energy above the lowest structure with this stoichiometry at 459 meV/atom. Its crystal system is trigonal.

---

Question: The lowest energy of formation from the pure elements belongs to which entry?
Answer: LuHfCu4

---

Question: energy of formation from the pure elements of number 2 (LuHfCu4)?
Answer: -0.70 eV/f.u.

---

Question: The lowest energy of formation from the pure elements belongs to which entry?
Answer: LuHfCu4

---

Question: energy of formation from the pure elements of number 1 (Lu2HfCu)?
Answer: -0.37 eV/f.u.